# 1
# ZrAgMo3 SCAN single point on PBEsol structure
data_ZrAgMo3
_cell_length_a 4.720
_cell_length_b 4.720
_cell_length_c 4.720
_cell_angle_alpha 90.00
_cell_angle_beta 90.00
_cell_angle_gamma 90.00
_symmetry_space_group_name_H-M 'P 1'
_symmetry_Int_Tables_number 1
_symmetry_space_group_name_Hall 'P 1'
loop_
_atom_site_label
_atom_site_type_symbol
_atom_site_fract_x
_atom_site_fract_y
_atom_site_fract_z
_atom_site_occupancy
Zr1 Zr 0.000 0.000 0.000 1
Ag1 Ag 0.500 0.500 0.500 1
Mo1 Mo 0.000 0.500 0.500 1
Mo2 Mo 0.500 0.000 0.500 1
Mo3 Mo 0.500 0.500 0.000 1
# Fermi-level density of states = 10.062 states/eV/f.u.
# Theoretical density = 7.69 g/cm3
# Electronic total energy = -155.9 eV for the cell shown
# Space-group type = Pm-3m (221)
# Formation energy from the elements = 10.87 eV per formula unit

# 2
# CuMo2Rh SCAN single point on PBEsol structure
data_CuMo2Rh
_cell_length_a 4.665
_cell_length_b 4.665
_cell_length_c 4.665
_cell_angle_alpha 131.48
_cell_angle_beta 131.48
_cell_angle_gamma 71.05
_symmetry_space_group_name_H-M 'P 1'
_symmetry_Int_Tables_number 1
_symmetry_space_group_name_Hall 'P 1'
loop_
_atom_site_label
_atom_site_type_symbol
_atom_site_fract_x
_atom_site_fract_y
_atom_site_fract_z
_atom_site_occupancy
Cu1 Cu 0.000 0.000 0.000 1
Mo1 Mo 0.500 0.500 0.000 1
Mo2 Mo 0.750 0.250 0.500 1
Rh1 Rh 0.250 0.750 0.500 1
# Fermi-level density of states = 5.619 states/eV/f.u.
# Theoretical density = 10.67 g/cm3
# Electronic total energy = -118.1 eV for the cell shown
# Space-group type = I-4m2 (119)
# Formation energy from the elements = 0.67 eV per formula unit

# 3
# Se3Br SCAN single point on PBEsol structure
data_Se3Br
_cell_length_a 4.956
_cell_length_b 3.751
_cell_length_c 5.667
_cell_angle_alpha 90.00
_cell_angle_beta 105.78
_cell_angle_gamma 90.00
_symmetry_space_group_name_H-M 'P 1'
_symmetry_Int_Tables_number 1
_symmetry_space_group_name_Hall 'P 1'
loop_
_atom_site_label
_atom_site_type_symbol
_atom_site_fract_x
_atom_site_fract_y
_atom_site_fract_z
_atom_site_occupancy
Se1 Se 0.000 0.000 0.000 1
Se2 Se 0.391 0.500 0.160 1
Se3 Se 0.609 0.500 0.840 1
Br1 Br 0.000 0.000 0.500 1
# Fermi-level density of states = 0.917 states/eV/f.u.
# Theoretical density = 5.19 g/cm3
# Electronic total energy = -79.5 eV for the cell shown
# ΔE to the lowest computed polymorph = 0 meV/atom
# Formation energy from raw total energies = 0.061 eV/atom
# Space-group type = P2/m (10)

# 4
# TcBPS2 SCAN single point on PBEsol structure
data_TcBPS2
_cell_length_a 4.080
_cell_length_b 4.080
_cell_length_c 3.841
_cell_angle_alpha 90.00
_cell_angle_beta 90.00
_cell_angle_gamma 90.00
_symmetry_space_group_name_H-M 'P 1'
_symmetry_Int_Tables_number 1
_symmetry_space_group_name_Hall 'P 1'
loop_
_atom_site_label
_atom_site_type_symbol
_atom_site_fract_x
_atom_site_fract_y
_atom_site_fract_z
_atom_site_occupancy
Tc1 Tc 0.000 0.000 0.000 1
B1 B 0.500 0.500 0.500 1
P1 P 0.500 0.500 0.000 1
S1 S 0.000 0.500 0.500 1
S2 S 0.500 0.000 0.500 1
# Fermi-level density of states = 3.025 states/eV/f.u.
# Theoretical density = 5.29 g/cm3
# Electronic total energy = -67.1 eV for the cell shown
# Formation energy from raw total energies = 1.000 eV/atom
# Space-group type = P4/mmm (123)